ZrNb2Ru3, optimized geometry, DFT PBE; crystal system = orthorhombic; VASP energy = -9.74 eV per atom; energy relative to the elements = -1.9 eV per formula unit; D(E_F) = 1.13 states/eV/atom; space group = Cmmm, No. 65; M_tot = 0.0 μB per cell
1.0
-0.439 2.344 2.017
-3.947 -1.929 1.383
5.405 -2.573 4.168
Zr Nb Ru
1 2 3
Cartesian
0.000 0.000 0.000
-0.829 -2.145 2.313
2.286 -2.357 3.238
0.051 -2.106 4.878
0.967 -0.052 2.689
-2.193 0.208 1.700